CaFeOs2 after structural relaxation, computed with PBE.

Cell lengths 9.3866, 9.3866, 9.3866 Å; angles 17.13, 17.13, 17.13 degrees
Atoms (fractional coordinates):
Ca1 0.0000 0.0000 0.0000
Fe1 0.5000 0.5000 0.5000
Os1 0.2401 0.2401 0.2401
Os2 0.7599 0.7599 0.7599

Values from the calculation:
SG: No. 166
Distance to the lowest polymorph of the same formula, meV/atom: 150
Fermi-level density of states, states/eV/cell: 3.562
Calculated volume, Å³/atom: 15.64
Crystal system: trigonal
Final energy, eV for the cell shown: -30.6
Formation energy from the elements, kcal/mol of atoms: 13.3